No. 1
First-principles (PBE) data for a geometry-optimized KGeOs2 structure, as listed in Alexandria.

## Properties
Spin magnetization, μB per atom: 0.000

Cell lengths 4.861, 4.861, 17.320 Å; angles 90.00, 90.00, 90.00 degrees
Element x y z (fractional)
K1 0.000 0.000 0.000
K2 0.000 0.500 0.250
K3 0.500 0.000 0.750
K4 0.500 0.500 0.500
Ge1 0.000 0.000 0.500
Ge2 0.000 0.500 0.750
Ge3 0.500 0.000 0.250
Ge4 0.500 0.500 0.000
Os1 0.020 0.750 0.625
Os2 0.250 0.020 0.375
Os3 0.250 0.480 0.875
Os4 0.480 0.750 0.125
Os5 0.520 0.250 0.125
Os6 0.750 0.520 0.875
Os7 0.750 0.980 0.375
Os8 0.980 0.250 0.625

=====

No. 2
First-principles (PBE) data for a geometry-optimized KGeOs3 structure, as listed in Alexandria.

## Properties
Spin magnetization, μB per atom: 0.370

Cell lengths 4.646, 4.646, 4.646 Å; angles 90.00, 90.00, 90.00 degrees
Element x y z (fractional)
K1 0.000 0.000 0.000
Ge1 0.500 0.500 0.500
Os1 0.000 0.000 0.500
Os2 0.000 0.500 0.000
Os3 0.500 0.000 0.000

=====

No. 3
First-principles (PBE) data for a geometry-optimized KGeOs structure, as listed in Alexandria.

## Properties
Spin magnetization, μB per atom: 0.000

Cell lengths 8.727, 3.046, 12.296 Å; angles 90.00, 105.64, 90.00 degrees
Element x y z (fractional)
K1 0.191 0.000 0.179
K2 0.309 0.500 0.821
K3 0.691 0.500 0.179
K4 0.809 0.000 0.821
Ge1 0.032 0.500 0.370
Ge2 0.468 0.000 0.630
Ge3 0.532 0.000 0.370
Ge4 0.968 0.500 0.630
Os1 0.155 0.000 0.544
Os2 0.345 0.500 0.456
Os3 0.655 0.500 0.544
Os4 0.845 0.000 0.456

=====

No. 4
First-principles (PBE) data for a geometry-optimized KGeOs2 structure, as listed in Alexandria.

## Properties
Spin magnetization, μB per atom: 0.000

Cell lengths 6.415, 6.415, 6.415 Å; angles 90.00, 90.00, 90.00 degrees
Element x y z (fractional)
K1 0.000 0.000 0.000
K2 0.000 0.500 0.500
K3 0.500 0.000 0.500
K4 0.500 0.500 0.000
Ge1 0.000 0.000 0.500
Ge2 0.000 0.500 0.000
Ge3 0.500 0.000 0.000
Ge4 0.500 0.500 0.500
Os1 0.250 0.250 0.250
Os2 0.250 0.250 0.750
Os3 0.250 0.750 0.250
Os4 0.250 0.750 0.750
Os5 0.750 0.250 0.250
Os6 0.750 0.250 0.750
Os7 0.750 0.750 0.250
Os8 0.750 0.750 0.750

=====

No. 5
First-principles (PBE) data for a geometry-optimized KGeOs structure, as listed in Alexandria.

## Properties
Spin magnetization, μB per atom: 0.000

Cell lengths 3.988, 3.988, 10.167 Å; angles 90.00, 90.00, 90.00 degrees
Element x y z (fractional)
K1 0.250 0.250 0.186
K2 0.750 0.750 0.814
Ge1 0.250 0.250 0.652
Ge2 0.750 0.750 0.348
Os1 0.250 0.750 0.500
Os2 0.750 0.250 0.500

=====

No. 6
First-principles (PBE) data for a geometry-optimized KGeOs structure, as listed in Alexandria.

## Properties
Spin magnetization, μB per atom: 0.000

Cell lengths 10.044, 4.272, 8.358 Å; angles 90.00, 124.70, 90.00 degrees
Element x y z (fractional)
K1 0.078 0.000 0.367
K2 0.422 0.500 0.633
K3 0.578 0.500 0.367
K4 0.922 0.000 0.633
Ge1 0.224 0.500 0.815
Ge2 0.276 0.000 0.185
Ge3 0.724 0.000 0.815
Ge4 0.776 0.500 0.185
Os1 0.133 0.500 0.042
Os2 0.367 0.000 0.958
Os3 0.633 0.000 0.042
Os4 0.867 0.500 0.958

=====

No. 7
First-principles (PBE) data for a geometry-optimized KGeOs structure, as listed in Alexandria.

## Properties
Spin magnetization, μB per atom: 0.000

Cell lengths 10.574, 2.905, 8.615 Å; angles 90.00, 107.13, 90.00 degrees
Element x y z (fractional)
K1 0.154 0.000 0.131
K2 0.346 0.500 0.869
K3 0.654 0.500 0.131
K4 0.846 0.000 0.869
Ge1 0.042 0.500 0.689
Ge2 0.458 0.000 0.311
Ge3 0.542 0.000 0.689
Ge4 0.958 0.500 0.311
Os1 0.148 0.000 0.504
Os2 0.352 0.500 0.496
Os3 0.648 0.500 0.504
Os4 0.852 0.000 0.496

=====

No. 8
First-principles (PBE) data for a geometry-optimized K2GeOs structure, as listed in Alexandria.

## Properties
Spin magnetization, μB per atom: 0.166

Cell lengths 12.719, 12.719, 4.670 Å; angles 90.00, 90.00, 90.00 degrees
Element x y z (fractional)
K1 0.005 0.750 0.125
K2 0.250 0.005 0.875
K3 0.250 0.495 0.375
K4 0.495 0.750 0.625
K5 0.505 0.250 0.625
K6 0.750 0.505 0.375
K7 0.750 0.995 0.875
K8 0.995 0.250 0.125
Ge1 0.000 0.000 0.500
Ge2 0.000 0.500 0.750
Ge3 0.500 0.000 0.250
Ge4 0.500 0.500 0.000
Os1 0.000 0.000 0.000
Os2 0.000 0.500 0.250
Os3 0.500 0.000 0.750
Os4 0.500 0.500 0.500

=====

No. 9
First-principles (PBE) data for a geometry-optimized KGeOs structure, as listed in Alexandria.

## Properties
Spin magnetization, μB per atom: 0.000

Cell lengths 8.054, 3.832, 11.509 Å; angles 90.00, 99.35, 90.00 degrees
Element x y z (fractional)
K1 0.179 0.000 0.188
K2 0.321 0.500 0.812
K3 0.679 0.500 0.188
K4 0.821 0.000 0.812
Ge1 0.079 0.000 0.625
Ge2 0.421 0.500 0.375
Ge3 0.579 0.500 0.625
Ge4 0.921 0.000 0.375
Os1 0.146 0.500 0.475
Os2 0.354 0.000 0.525
Os3 0.646 0.000 0.475
Os4 0.854 0.500 0.525

=====

No. 10
First-principles (PBE) data for a geometry-optimized KGeOs structure, as listed in Alexandria.

## Properties
Spin magnetization, μB per atom: 0.000

Cell lengths 3.080, 4.380, 11.726 Å; angles 90.28, 93.58, 90.00 degrees
Element x y z (fractional)
K1 0.174 0.246 0.183
K2 0.826 0.754 0.817
Ge1 0.284 0.252 0.643
Ge2 0.716 0.748 0.357
Os1 0.257 0.750 0.531
Os2 0.743 0.250 0.469

=====

No. 11
First-principles (PBE) data for a geometry-optimized KV2GeOs structure, as listed in Alexandria.

## Properties
Spin magnetization, μB per atom: 1.203

Cell lengths 4.966, 4.966, 4.667 Å; angles 90.00, 90.00, 90.00 degrees
Element x y z (fractional)
K1 0.000 0.000 0.000
V1 0.000 0.500 0.500
V2 0.500 0.000 0.500
Ge1 0.500 0.500 0.500
Os1 0.500 0.500 0.000

=====

No. 12
First-principles (PBE) data for a geometry-optimized KGeOsW2 structure, as listed in Alexandria.

## Properties
Spin magnetization, μB per atom: 0.000

Cell lengths 4.635, 4.635, 4.506 Å; angles 90.00, 90.00, 90.00 degrees
Element x y z (fractional)
K1 0.000 0.000 0.000
Ge1 0.500 0.500 0.500
Os1 0.000 0.000 0.500
W1 0.000 0.500 0.000
W2 0.500 0.000 0.000

=====

No. 13
First-principles (PBE) data for a geometry-optimized KZnGe2Os structure, as listed in Alexandria.

## Properties
Spin magnetization, μB per atom: 0.000

Cell lengths 4.817, 4.817, 5.023 Å; angles 90.00, 90.00, 90.00 degrees
Element x y z (fractional)
K1 0.000 0.000 0.000
Zn1 0.500 0.500 0.000
Ge1 0.000 0.500 0.500
Ge2 0.500 0.000 0.500
Os1 0.500 0.500 0.500

=====

Taking the records one at a time from the top gives formation energy values of 23.2 88.6 4.3 37.1 2.8 5.7 3.8 15.7 4.6 3.3 28.3 86.8 0.8 kcal/mol of atoms.